No. 1
This record from the Alexandria database describes an optimized crystal structure of K2RuCl6. The functional is PBE.

## Properties
ΔE_f (raw) ... -1.20 eV per atom
V ... 245.8 Å³ per cell
Symmetry ... Fm-3m, No. 225

Geometry as extended XYZ:
```
9
Lattice="0.000 4.972 4.972 4.972 0.000 4.972 4.972 4.972 0.000" Properties=species:S:1:pos:R:3 pbc="T T T"
K 2.486 2.486 2.486
K 7.458 7.458 7.458
Ru 0.000 0.000 0.000
Cl 4.972 4.972 2.350
Cl 4.972 2.350 4.972
Cl 7.593 4.972 4.972
Cl 2.350 4.972 4.972
Cl 4.972 7.593 4.972
Cl 4.972 4.972 7.593
```

***

No. 2
This record from the Alexandria database describes an optimized crystal structure of KRuCl. The functional is PBE.

## Properties
ΔE_f (raw) ... 0.68 eV per atom
V ... 78.3 Å³ per cell
Energy above the lowest structure with this stoichiometry ... 384 meV per atom
Symmetry ... F-43m, No. 216

Geometry as extended XYZ:
```
3
Lattice="0.000 3.395 3.395 3.395 0.000 3.395 3.395 3.395 0.000" Properties=species:S:1:pos:R:3 pbc="T T T"
K 0.000 0.000 0.000
Ru 3.395 3.395 3.395
Cl 5.093 5.093 5.093
```

***

No. 3
This record from the Alexandria database describes an optimized crystal structure of KRu2Cl. The functional is PBE.

## Properties
ΔE_f (raw) ... 0.96 eV per atom
V ... 92.5 Å³ per cell
Energy above the lowest structure with this stoichiometry ... 836 meV per atom
Symmetry ... Cmmm, No. 65

Geometry as extended XYZ:
```
4
Lattice="2.580 -6.966 0.000 2.580 6.966 0.000 0.000 0.000 2.573" Properties=species:S:1:pos:R:3 pbc="T T T"
K 0.000 0.000 0.000
Ru 1.290 3.483 1.286
Ru 1.290 -3.483 1.286
Cl 2.580 0.000 0.000
```

***

No. 4
This record from the Alexandria database describes an optimized crystal structure of KRuCl. The functional is PBE.

## Properties
ΔE_f (raw) ... 0.43 eV per atom
V ... 70.3 Å³ per cell
Energy above the lowest structure with this stoichiometry ... 129 meV per atom
Symmetry ... P3m1, No. 156

Geometry as extended XYZ:
```
3
Lattice="3.421 0.000 0.000 -1.711 2.963 0.000 0.000 0.000 6.931" Properties=species:S:1:pos:R:3 pbc="T T T"
K 0.000 0.000 0.000
Ru 1.711 0.988 2.833
Cl 0.000 1.975 4.560
```

***

No. 5
This record from the Alexandria database describes an optimized crystal structure of K2RuCl. The functional is PBE.

## Properties
ΔE_f (raw) ... 0.38 eV per atom
V ... 132.8 Å³ per cell
Energy above the lowest structure with this stoichiometry ... 364 meV per atom
Symmetry ... Fm-3m, No. 225

Geometry as extended XYZ:
```
4
Lattice="0.000 4.050 4.050 4.050 0.000 4.050 4.050 4.050 0.000" Properties=species:S:1:pos:R:3 pbc="T T T"
K 2.025 2.025 2.025
K 6.075 6.075 6.075
Ru 0.000 0.000 0.000
Cl 4.050 4.050 4.050
```

***

No. 6
This record from the Alexandria database describes an optimized crystal structure of KRu2Cl. The functional is PBE.

## Properties
ΔE_f (raw) ... 1.05 eV per atom
V ... 72.0 Å³ per cell
Energy above the lowest structure with this stoichiometry ... 925 meV per atom
Symmetry ... F-43m, No. 216

Geometry as extended XYZ:
```
4
Lattice="0.000 3.302 3.302 3.302 0.000 3.302 3.302 3.302 0.000" Properties=species:S:1:pos:R:3 pbc="T T T"
K 0.000 0.000 0.000
Ru 1.651 1.651 1.651
Ru 3.302 3.302 3.302
Cl 4.953 4.953 4.953
```

***

No. 7
This record from the Alexandria database describes an optimized crystal structure of KRuCl4. The functional is PBE.

## Properties
ΔE_f (raw) ... -0.98 eV per atom
V ... 409.4 Å³ per cell
Energy above the lowest structure with this stoichiometry ... 0 meV per atom
Symmetry ... C2/c, No. 15

Geometry as extended XYZ:
```
12
Lattice="4.546 -7.355 0.000 4.546 7.355 0.000 -1.538 0.000 6.121" Properties=species:S:1:pos:R:3 pbc="T T T"
K 3.393 3.895 4.591
K 4.162 -3.895 1.530
Ru 4.162 0.858 1.530
Ru 3.393 -0.858 4.591
Cl 2.563 2.540 1.985
Cl 1.872 0.802 5.372
Cl 2.641 -0.802 2.311
Cl 5.760 2.540 1.075
Cl 1.794 -2.540 5.046
Cl 4.913 0.802 3.810
Cl 5.683 -0.802 0.749
Cl 4.991 -2.540 4.136
```

***

No. 8
This record from the Alexandria database describes an optimized crystal structure of KRuCl. The functional is PBE.

## Properties
ΔE_f (raw) ... 0.42 eV per atom
V ... 68.6 Å³ per cell
Energy above the lowest structure with this stoichiometry ... 120 meV per atom
Symmetry ... Fmm2, No. 42

Geometry as extended XYZ:
```
3
Lattice="0.000 2.491 6.458 2.132 0.000 6.458 2.132 2.491 0.000" Properties=species:S:1:pos:R:3 pbc="T T T"
K 0.000 0.000 0.000
Ru 2.132 2.491 3.739
Cl 2.132 2.491 8.678
```